Density functional theory data (PBE-GGA) for a geometry-optimized Na3Er2PtO6 structure.

Lattice parameters (Å, degrees): 5.727 5.727 5.872 98.74 98.74 120.37
Element x y z (fractional)
1 Na 0.000 0.000 0.000
2 Na 0.341 0.659 0.000
3 Na 0.659 0.341 0.000
4 Er 0.170 0.830 0.500
5 Er 0.830 0.170 0.500
6 Pt 0.500 0.500 0.500
7 O 0.087 0.425 0.276
8 O 0.251 0.251 0.702
9 O 0.425 0.087 0.276
10 O 0.575 0.913 0.724
11 O 0.749 0.749 0.298
12 O 0.913 0.575 0.724

Values from the calculation:
E: -0.4550 Ry/atom
D(E_F): 0.1 states/eV/cell
energy relative to the elements, uncorrected: -204.30 kJ per mole of atoms

---

Density functional theory data (PBE-GGA) for a geometry-optimized NaEr2PtO5 structure.

Lattice parameters (Å, degrees): 6.468 6.468 5.806 90.00 90.00 90.00
Element x y z (fractional)
1 Na 0.000 0.000 0.000
2 Na 0.500 0.500 0.000
3 Er 0.175 0.325 0.500
4 Er 0.325 0.825 0.500
5 Er 0.675 0.175 0.500
6 Er 0.825 0.675 0.500
7 Pt 0.000 0.500 0.000
8 Pt 0.500 0.000 0.000
9 O 0.000 0.000 0.500
10 O 0.138 0.638 0.262
11 O 0.138 0.638 0.738
12 O 0.362 0.138 0.262
13 O 0.362 0.138 0.738
14 O 0.500 0.500 0.500
15 O 0.638 0.862 0.262
16 O 0.638 0.862 0.738
17 O 0.862 0.362 0.262
18 O 0.862 0.362 0.738

Values from the calculation:
E: -0.5072 Ry/atom
D(E_F): 9.7 states/eV/cell
energy relative to the elements, uncorrected: -223.36 kJ per mole of atoms

---

Density functional theory data (PBE-GGA) for a geometry-optimized NaEr2PuO6 structure.

Lattice parameters (Å, degrees): 6.089 6.089 6.089 56.77 56.77 56.77
Element x y z (fractional)
1 Na 0.000 0.000 0.000
2 Er 0.271 0.271 0.271
3 Er 0.782 0.782 0.782
4 Pu 0.479 0.479 0.479
5 O 0.096 0.643 0.418
6 O 0.196 0.561 0.869
7 O 0.418 0.096 0.643
8 O 0.561 0.869 0.196
9 O 0.643 0.418 0.096
10 O 0.869 0.196 0.561

Values from the calculation:
E: -0.6218 Ry/atom
D(E_F): 10.7 states/eV/cell
energy relative to the elements, uncorrected: -290.19 kJ per mole of atoms

---

Density functional theory data (PBE-GGA) for a geometry-optimized Na2Er2PuO6 structure.

Lattice parameters (Å, degrees): 5.938 5.938 5.937 99.28 99.28 120.08
Element x y z (fractional)
1 Na 0.171 0.829 0.000
2 Na 0.829 0.171 0.000
3 Er 0.335 0.665 0.500
4 Er 0.665 0.335 0.500
5 Pu 0.000 0.000 0.500
6 O 0.053 0.394 0.698
7 O 0.254 0.254 0.304
8 O 0.394 0.053 0.698
9 O 0.606 0.947 0.302
10 O 0.746 0.746 0.696
11 O 0.947 0.606 0.302

Values from the calculation:
E: -0.5813 Ry/atom
D(E_F): 1.7 states/eV/cell
energy relative to the elements, uncorrected: -273.29 kJ per mole of atoms

---

Density functional theory data (PBE-GGA) for a geometry-optimized Na3Er3PuO8 structure.

Lattice parameters (Å, degrees): 6.859 6.859 6.859 59.78 59.78 59.78
Element x y z (fractional)
1 Na 0.000 0.500 0.500
2 Na 0.500 0.000 0.500
3 Na 0.500 0.500 0.000
4 Er 0.000 0.000 0.500
5 Er 0.000 0.500 0.000
6 Er 0.500 0.000 0.000
7 Pu 0.500 0.500 0.500
8 O 0.235 0.235 0.235
9 O 0.241 0.729 0.729
10 O 0.271 0.271 0.759
11 O 0.271 0.759 0.271
12 O 0.729 0.241 0.729
13 O 0.729 0.729 0.241
14 O 0.759 0.271 0.271
15 O 0.765 0.765 0.765

Values from the calculation:
E: -0.5592 Ry/atom
D(E_F): 3.8 states/eV/cell
energy relative to the elements, uncorrected: -273.31 kJ per mole of atoms

---

Density functional theory data (PBE-GGA) for a geometry-optimized NaErPuO6 structure.

Lattice parameters (Å, degrees): 5.535 5.535 4.819 90.00 90.00 120.00
Element x y z (fractional)
1 Na 0.000 0.000 0.000
2 Er 0.667 0.333 0.500
3 Pu 0.333 0.667 0.000
4 O 0.028 0.382 0.232
5 O 0.028 0.645 0.768
6 O 0.355 0.382 0.768
7 O 0.355 0.972 0.232
8 O 0.618 0.645 0.232
9 O 0.618 0.972 0.768

Values from the calculation:
E: -0.5821 Ry/atom
D(E_F): 2.8 states/eV/cell
energy relative to the elements, uncorrected: -228.56 kJ per mole of atoms

---

Density functional theory data (PBE-GGA) for a geometry-optimized Na3Er2PuO6 structure.

Lattice parameters (Å, degrees): 5.955 5.955 5.932 99.62 99.62 120.01
Element x y z (fractional)
1 Na 0.000 0.000 0.000
2 Na 0.330 0.670 0.000
3 Na 0.670 0.330 0.000
4 Er 0.167 0.833 0.500
5 Er 0.833 0.167 0.500
6 Pu 0.500 0.500 0.500
7 O 0.087 0.430 0.289
8 O 0.228 0.228 0.712
9 O 0.430 0.087 0.289
10 O 0.570 0.913 0.711
11 O 0.772 0.772 0.288
12 O 0.913 0.570 0.711

Values from the calculation:
E: -0.5458 Ry/atom
D(E_F): 6.5 states/eV/cell
energy relative to the elements, uncorrected: -256.89 kJ per mole of atoms

---

Density functional theory data (PBE-GGA) for a geometry-optimized Na4Er3PuO8 structure.

Lattice parameters (Å, degrees): 6.844 6.844 6.844 60.03 60.03 60.03
Element x y z (fractional)
1 Na 0.000 0.000 0.000
2 Na 0.000 0.500 0.500
3 Na 0.500 0.000 0.500
4 Na 0.500 0.500 0.000
5 Er 0.000 0.000 0.500
6 Er 0.000 0.500 0.000
7 Er 0.500 0.000 0.000
8 Pu 0.500 0.500 0.500
9 O 0.230 0.741 0.741
10 O 0.236 0.236 0.236
11 O 0.259 0.259 0.770
12 O 0.259 0.770 0.259
13 O 0.741 0.230 0.741
14 O 0.741 0.741 0.230
15 O 0.764 0.764 0.764
16 O 0.770 0.259 0.259

Values from the calculation:
E: -0.5341 Ry/atom
D(E_F): 5.3 states/eV/cell
energy relative to the elements, uncorrected: -261.18 kJ per mole of atoms

---

Density functional theory data (PBE-GGA) for a geometry-optimized NaErPu2O8 structure.

Lattice parameters (Å, degrees): 6.402 6.402 6.402 131.04 131.04 71.75
Element x y z (fractional)
1 Na 0.000 0.000 0.000
2 Er 0.250 0.750 0.500
3 Pu 0.500 0.500 0.000
4 Pu 0.750 0.250 0.500
5 O 0.129 0.145 0.528
6 O 0.129 0.601 0.984
7 O 0.399 0.383 0.528
8 O 0.399 0.871 0.016
9 O 0.617 0.145 0.016
10 O 0.617 0.601 0.472
11 O 0.855 0.383 0.984
12 O 0.855 0.871 0.472

Values from the calculation:
E: -0.6435 Ry/atom
D(E_F): 9.8 states/eV/cell
energy relative to the elements, uncorrected: -248.01 kJ per mole of atoms

---

Density functional theory data (PBE-GGA) for a geometry-optimized Na3Er3ReO8 structure.

Lattice parameters (Å, degrees): 6.763 6.763 6.763 58.92 58.92 58.92
Element x y z (fractional)
1 Na 0.000 0.500 0.500
2 Na 0.500 0.000 0.500
3 Na 0.500 0.500 0.000
4 Er 0.000 0.000 0.500
5 Er 0.000 0.500 0.000
6 Er 0.500 0.000 0.000
7 Re 0.500 0.500 0.500
8 O 0.236 0.236 0.236
9 O 0.257 0.720 0.720
10 O 0.280 0.280 0.743
11 O 0.280 0.743 0.280
12 O 0.720 0.257 0.720
13 O 0.720 0.720 0.257
14 O 0.743 0.280 0.280
15 O 0.764 0.764 0.764

Values from the calculation:
E: -0.5262 Ry/atom
energy relative to the elements, uncorrected: -242.10 kJ per mole of atoms

---

Density functional theory data (PBE-GGA) for a geometry-optimized Na2ErRe3O12 structure.

Lattice parameters (Å, degrees): 7.609 7.609 7.609 58.20 58.20 58.20
Element x y z (fractional)
1 Na 0.205 0.205 0.205
2 Na 0.795 0.795 0.795
3 Er 0.500 0.500 0.500
4 Re 0.000 0.500 0.500
5 Re 0.500 0.000 0.500
6 Re 0.500 0.500 0.000
7 O 0.147 0.572 0.572
8 O 0.198 0.198 0.564
9 O 0.198 0.564 0.198
10 O 0.428 0.428 0.853
11 O 0.428 0.853 0.428
12 O 0.436 0.802 0.802
13 O 0.564 0.198 0.198
14 O 0.572 0.147 0.572
15 O 0.572 0.572 0.147
16 O 0.802 0.436 0.802
17 O 0.802 0.802 0.436
18 O 0.853 0.428 0.428

Values from the calculation:
E: -0.5609 Ry/atom
D(E_F): 5.9 states/eV/cell
energy relative to the elements, uncorrected: -178.63 kJ per mole of atoms

---

Density functional theory data (PBE-GGA) for a geometry-optimized Na2ErReO6 structure.

Lattice parameters (Å, degrees): 5.611 5.733 9.771 90.00 124.83 90.00
Element x y z (fractional)
1 Na 0.243 0.035 0.251
2 Na 0.243 0.465 0.751
3 Na 0.757 0.535 0.249
4 Na 0.757 0.965 0.749
5 Er 0.500 0.000 0.000
6 Er 0.500 0.500 0.500
7 Re 0.000 0.000 0.500
8 Re 0.000 0.500 0.000
9 O 0.138 0.229 0.953
10 O 0.138 0.271 0.453
11 O 0.231 0.688 0.959
12 O 0.231 0.812 0.459
13 O 0.313 0.024 0.729
14 O 0.313 0.476 0.229
15 O 0.687 0.524 0.771
16 O 0.687 0.976 0.271
17 O 0.769 0.188 0.541
18 O 0.769 0.312 0.041
19 O 0.862 0.729 0.547
20 O 0.862 0.771 0.047

Values from the calculation:
E: -0.5246 Ry/atom
energy relative to the elements, uncorrected: -212.06 kJ per mole of atoms

---

Density functional theory data (PBE-GGA) for a geometry-optimized NaEr2RhO5 structure.

Lattice parameters (Å, degrees): 6.474 6.474 5.740 90.00 90.00 90.00
Element x y z (fractional)
1 Na 0.000 0.000 0.000
2 Na 0.500 0.500 0.000
3 Er 0.176 0.324 0.500
4 Er 0.324 0.824 0.500
5 Er 0.676 0.176 0.500
6 Er 0.824 0.676 0.500
7 Rh 0.000 0.500 0.000
8 Rh 0.500 0.000 0.000
9 O 0.000 0.000 0.500
10 O 0.139 0.639 0.258
11 O 0.139 0.639 0.742
12 O 0.361 0.139 0.258
13 O 0.361 0.139 0.742
14 O 0.500 0.500 0.500
15 O 0.639 0.861 0.258
16 O 0.639 0.861 0.742
17 O 0.861 0.361 0.258
18 O 0.861 0.361 0.742

Values from the calculation:
E: -0.5177 Ry/atom
D(E_F): 8.6 states/eV/cell
energy relative to the elements, uncorrected: -223.05 kJ per mole of atoms

---

Density functional theory data (PBE-GGA) for a geometry-optimized Na3Er3RhO8 structure.

Lattice parameters (Å, degrees): 6.741 6.741 6.741 58.83 58.83 58.83
Element x y z (fractional)
1 Na 0.000 0.500 0.500
2 Na 0.500 0.000 0.500
3 Na 0.500 0.500 0.000
4 Er 0.000 0.000 0.500
5 Er 0.000 0.500 0.000
6 Er 0.500 0.000 0.000
7 Rh 0.500 0.500 0.500
8 O 0.236 0.236 0.236
9 O 0.258 0.721 0.721
10 O 0.279 0.279 0.742
11 O 0.279 0.742 0.279
12 O 0.721 0.258 0.721
13 O 0.721 0.721 0.258
14 O 0.742 0.279 0.279
15 O 0.764 0.764 0.764

Values from the calculation:
E: -0.4932 Ry/atom
D(E_F): 7.2 states/eV/cell
energy relative to the elements, uncorrected: -231.56 kJ per mole of atoms

---

Density functional theory data (PBE-GGA) for a geometry-optimized Na2Er2RhO6 structure.

Lattice parameters (Å, degrees): 5.670 5.670 5.871 97.62 97.62 119.86
Element x y z (fractional)
1 Na 0.149 0.851 0.000
2 Na 0.851 0.149 0.000
3 Er 0.337 0.663 0.500
4 Er 0.663 0.337 0.500
5 Rh 0.000 0.000 0.500
6 O 0.046 0.362 0.694
7 O 0.250 0.250 0.299
8 O 0.362 0.046 0.694
9 O 0.638 0.954 0.306
10 O 0.750 0.750 0.701
11 O 0.954 0.638 0.306

Values from the calculation:
E: -0.4887 Ry/atom
D(E_F): 7.1 states/eV/cell
energy relative to the elements, uncorrected: -212.92 kJ per mole of atoms

---

Density functional theory data (PBE-GGA) for a geometry-optimized Na2ErRuO4 structure.

Lattice parameters (Å, degrees): 5.401 3.310 5.848 90.00 109.11 90.00
Element x y z (fractional)
1 Na 0.000 0.000 0.000
2 Na 0.500 0.500 0.000
3 Er 0.000 0.500 0.500
4 Ru 0.500 0.000 0.500
5 O 0.247 0.000 0.720
6 O 0.290 0.500 0.298
7 O 0.710 0.500 0.702
8 O 0.753 0.000 0.280

Values from the calculation:
E: -0.4753 Ry/atom
D(E_F): 3.5 states/eV/cell
energy relative to the elements, uncorrected: -186.08 kJ per mole of atoms

---

Density functional theory data (PBE-GGA) for a geometry-optimized NaErS2O8 structure.

Lattice parameters (Å, degrees): 5.379 5.379 7.085 90.00 90.00 120.00
Element x y z (fractional)
1 Na 0.000 0.000 0.000
2 Er 0.000 0.000 0.500
3 S 0.333 0.667 0.775
4 S 0.667 0.333 0.225
5 O 0.182 0.366 0.698
6 O 0.185 0.818 0.698
7 O 0.333 0.667 0.979
8 O 0.366 0.185 0.302
9 O 0.634 0.815 0.698
10 O 0.667 0.333 0.021
11 O 0.815 0.182 0.302
12 O 0.818 0.634 0.302

Values from the calculation:
E: -0.4790 Ry/atom
D(E_F): 0.0 states/eV/cell
energy relative to the elements, uncorrected: -196.24 kJ per mole of atoms

---

Density functional theory data (PBE-GGA) for a geometry-optimized NaErS2O8 structure.

Lattice parameters (Å, degrees): 4.733 6.889 9.890 90.00 97.29 90.00
Element x y z (fractional)
1 Na 0.120 0.250 0.360
2 Na 0.880 0.750 0.640
3 Er 0.150 0.250 0.825
4 Er 0.850 0.750 0.175
5 S 0.334 0.750 0.398
6 S 0.355 0.750 0.929
7 S 0.645 0.250 0.071
8 S 0.666 0.250 0.602
9 O 0.176 0.579 0.330
10 O 0.176 0.921 0.330
11 O 0.238 0.576 0.854
12 O 0.238 0.924 0.854
13 O 0.277 0.750 0.072
14 O 0.328 0.250 0.056
15 O 0.336 0.750 0.546
16 O 0.367 0.250 0.635
17 O 0.633 0.750 0.365
18 O 0.664 0.250 0.454
19 O 0.672 0.750 0.944
20 O 0.723 0.250 0.928
21 O 0.762 0.076 0.146
22 O 0.762 0.424 0.146
23 O 0.824 0.079 0.670
24 O 0.824 0.421 0.670

Values from the calculation:
E: -0.4817 Ry/atom
D(E_F): 0.0 states/eV/cell
energy relative to the elements, uncorrected: -199.81 kJ per mole of atoms

---

Density functional theory data (PBE-GGA) for a geometry-optimized NaErSO4 structure.

Lattice parameters (Å, degrees): 6.547 6.547 6.547 119.06 112.97 97.13
Element x y z (fractional)
1 Na 0.000 0.000 0.000
2 Na 0.500 0.000 0.500
3 Er 0.500 0.000 0.000
4 Er 0.500 0.500 0.500
5 S 0.115 0.365 0.750
6 S 0.885 0.635 0.250
7 O 0.216 0.281 0.565
8 O 0.216 0.652 0.935
9 O 0.299 0.247 0.052
10 O 0.305 0.753 0.552
11 O 0.695 0.247 0.448
12 O 0.701 0.753 0.948
13 O 0.784 0.348 0.065
14 O 0.784 0.719 0.435

Values from the calculation:
E: -0.4528 Ry/atom
energy relative to the elements, uncorrected: -183.09 kJ per mole of atoms